VASP calculation (PBE) on crystalline LaCu2Re at its relaxed geometry.

Its energy above the most stable polymorph in this dataset is 0 meV/atom. The calculation puts the energy relative to the elements at 0.37 eV/atom. The value obtained for the total magnetization is 0.004 μB/cell.

The space group is Pmmm (No. 47) and the conventional cell measures 2.897, 3.800 and 6.407 Å, with angles of 90.00, 90.00 and 90.00 degrees. Symmetry generates all atoms from La at (0.000, 0.000, 0.000), Cu at (0.500, 0.500, 0.313) and Re at (0.000, 0.000, 0.500).


VASP calculation (PBE) on crystalline Ca2CuCl at its relaxed geometry.

Its energy above the most stable polymorph in this dataset is 240 meV/atom. For the uncorrected formation energy, the calculation gives -0.59 eV per atom. The value obtained for the total magnetization is 0.000 μB/cell.

The space group is Immm (No. 71) and the conventional cell measures 4.009, 6.411 and 8.526 Å, with angles of 90.00, 90.00 and 90.00 degrees. Symmetry generates all atoms from Ca at (0.000, 0.000, 0.235), Cu at (0.000, 0.500, 0.000) and Cl at (0.000, 0.500, 0.500).


VASP calculation (PBE) on crystalline CaZr2Pt at its relaxed geometry.

Its energy above the most stable polymorph in this dataset is 361 meV/atom. The calculation puts the energy relative to the elements at -0.10 eV/atom. The value obtained for the total magnetization is 0.000 μB/cell.

The space group is Fm-3m (No. 225) and the conventional cell measures 6.940, 6.940 and 6.940 Å, with angles of 90.00, 90.00 and 90.00 degrees. Symmetry generates all atoms from Ca at (0.000, 0.000, 0.000), Zr at (0.250, 0.250, 0.250) and Pt at (0.000, 0.000, 0.500).


VASP calculation (PBE) on crystalline Sn2BiS3 at its relaxed geometry.

For the uncorrected formation energy, the calculation gives -0.28 eV per atom. The value obtained for the total magnetization is 0.000 μB/cell.

The space group is Immm (No. 71) and the conventional cell measures 4.061, 5.986 and 12.582 Å, with angles of 90.00, 90.00 and 90.00 degrees. Symmetry generates all atoms from Sn at (0.000, 0.000, 0.164), Bi at (0.000, 0.000, 0.500), S at (0.000, 0.500, 0.163) and S at (0.000, 0.500, 0.500).


VASP calculation (PBE) on crystalline HfThPd2 at its relaxed geometry.

Its energy above the most stable polymorph in this dataset is 0 meV/atom. The calculation puts the energy relative to the elements at -0.65 eV/atom. The value obtained for the total magnetization is 0.000 μB/cell.

The space group is P4/mmm (No. 123) and the conventional cell measures 3.395, 3.395 and 7.302 Å, with angles of 90.00, 90.00 and 90.00 degrees. Symmetry generates all atoms from Hf at (0.000, 0.000, 0.000), Th at (0.000, 0.000, 0.500) and Pd at (0.500, 0.500, 0.204).


VASP calculation (PBE) on crystalline TbNdZn2 at its relaxed geometry.

The calculation puts the energy relative to the elements at -0.10 eV/atom. The value obtained for the total magnetization is 0.001 μB/cell.

The space group is R-3m (No. 166, hexagonal axes) and the conventional cell measures 3.6565, 3.6565 and 27.2576 Å, with angles of 90.00, 90.00 and 120.00 degrees. Symmetry generates all atoms from Tb at (0.0000, 0.0000, 0.0000), Nd at (0.0000, 0.0000, 0.5000) and Zn at (0.0000, 0.0000, 0.2527).